No. 1
NdIn3Cu2 (PBE, optimized geometry); D(E_F) = 5.8 states/eV/cell; DFT formation energy = -0.227 eV/atom; mass density = 7.81 g cm⁻³
1.0
-2.200 4.186 7.109
2.200 -4.186 7.109
2.200 4.186 -7.109
Nd In Cu
2 6 4
direct
0.129 0.129 0.000
0.871 0.871 0.000
0.135 0.333 0.803
0.334 0.000 0.334
0.470 0.667 0.803
0.530 0.333 0.197
0.666 0.000 0.666
0.865 0.667 0.197
0.146 0.500 0.646
0.303 0.803 0.500
0.697 0.197 0.500
0.854 0.500 0.354

---

No. 2
PaSiAu (PBE, optimized geometry); ΔE_f (raw) = -491.4 meV/atom; D(E_F) = 1.1 states/eV/cell; mass density = 12.23 g cm⁻³
1.0
4.234 0.000 0.000
-2.117 3.667 0.000
0.000 0.000 3.989
Pa Si Au
1 1 1
direct
0.000 0.000 0.000
0.667 0.333 0.501
0.333 0.667 0.499

---

No. 3
Pa2Zn16Ni (PBE, optimized geometry); D(E_F) = 12.1 states/eV/cell; DFT formation energy = -0.128 eV/atom; mass density = 8.64 g cm⁻³
1.0
4.466 2.579 4.357
-4.466 2.579 4.357
0.000 -5.157 4.357
Pa Zn Ni
2 16 1
direct
0.000 0.000 0.000
0.329 0.329 0.329
0.020 0.020 0.514
0.020 0.514 0.020
0.164 0.672 0.672
0.313 0.313 0.828
0.313 0.828 0.313
0.380 0.670 0.960
0.380 0.960 0.670
0.514 0.020 0.020
0.573 0.573 0.573
0.670 0.380 0.960
0.670 0.960 0.380
0.672 0.164 0.672
0.672 0.672 0.164
0.828 0.313 0.313
0.960 0.380 0.670
0.960 0.670 0.380
0.786 0.786 0.786

---

No. 4
CeDy4Y2 (PBE, optimized geometry); E above lowest polymorph = 0.000 eV/atom; D(E_F) = 13.6 states/eV/cell; DFT formation energy = 0.036 eV/atom; mass density = 7.22 g cm⁻³
1.0
3.105 -1.793 0.000
3.105 1.793 0.000
-2.073 0.000 19.990
Ce Dy Y
1 4 2
direct
0.000 0.000 0.000
0.096 0.096 0.285
0.191 0.191 0.570
0.619 0.619 0.857
0.715 0.715 0.143
0.811 0.811 0.428
0.905 0.905 0.714